# 1
Pr2TcNi: optimized geometry, PBE.

Cell and atoms, written as extended XYZ:
```
4
Lattice="3.429 0.000 0.000 1.714 2.969 0.000 1.714 0.990 9.463" Properties=species:S:1:pos:R:3 pbc="T T T"
Pr 1.714 0.990 6.744
Pr 5.143 2.969 2.719
Ni 3.429 1.980 4.732
Tc 0.000 0.000 0.000
```

Output
V in Å³/cell: 96.3
Magnetic moment in μB per atom: 0.229
Energy relative to the elements in eV/atom: 0.76

***

# 2
AlPd2Au: optimized geometry, PBE.

Cell and atoms, written as extended XYZ:
```
4
Lattice="-2.534 -1.111 2.662 0.304 -3.797 -1.296 3.008 -0.644 2.594" Properties=species:S:1:pos:R:3 pbc="T T T"
Au -1.267 -0.556 1.331
Al 0.389 -2.776 1.980
Pd 1.504 -0.322 1.297
Pd 0.152 -1.899 -0.648
```

Output
V in Å³/cell: 62.2
Magnetic moment in μB per atom: 0.000
Energy relative to the elements in eV/atom: -0.58

***

# 3
ScP: optimized geometry, PBE.

Cell and atoms, written as extended XYZ:
```
6
Lattice="1.090 -1.099 4.942 3.968 0.336 3.312 -0.520 5.508 3.927" Properties=species:S:1:pos:R:3 pbc="T T T"
Sc 2.917 3.279 8.030
Sc 4.750 1.442 9.649
Sc 4.065 -0.441 6.784
P -0.052 5.385 4.645
P 1.148 1.767 3.580
P 1.542 3.597 5.885
```

Output
V in Å³/cell: 109.5
Magnetic moment in μB per atom: 0.000
Energy relative to the elements in eV/atom: -1.19

***

# 4
Ca3SmZr2As6: optimized geometry, PBE.

Cell and atoms, written as extended XYZ:
```
12
Lattice="-2.352 5.755 3.281 -0.760 -6.317 2.988 7.139 0.918 0.984" Properties=species:S:1:pos:R:3 pbc="T T T"
Ca 2.551 -3.898 3.528
Ca 1.476 4.253 3.725
Ca 2.013 0.178 3.626
Sm 0.000 0.000 0.000
Zr -1.289 -2.305 3.085
Zr -1.823 1.742 3.183
As 2.880 2.389 5.497
As -0.625 -0.199 4.789
As 1.146 -2.033 1.756
As 3.436 -1.820 5.395
As 4.652 0.554 2.463
As 0.591 2.175 1.858
```

Output
V in Å³/cell: 293.8
Magnetic moment in μB per atom: 0.000
Energy relative to the elements in eV/atom: -1.19

***

# 5
Nd6RhS5: optimized geometry, PBE.

Cell and atoms, written as extended XYZ:
```
12
Lattice="6.971 -0.099 -1.316 -3.758 5.872 -1.316 0.132 0.238 7.078" Properties=species:S:1:pos:R:3 pbc="T T T"
Rh 0.000 0.000 0.000
S 5.219 1.032 2.223
S 3.391 1.894 -1.316
S 1.673 3.006 2.223
S -0.178 3.880 -1.316
S -1.874 4.980 2.223
Nd 2.605 0.499 1.097
Nd 4.294 3.534 3.348
Nd 0.899 1.615 4.655
Nd 2.447 4.397 -0.209
Nd -0.949 2.477 1.097
Nd 0.740 5.512 3.348
```

Output
ΔE_f (raw) in eV/atom: -1.786
V in Å³/cell: 291.5
Magnetic moment in μB per atom: 0.000

***

# 6
CsSi2Te8Ir: optimized geometry, PBE.

Cell and atoms, written as extended XYZ:
```
12
Lattice="-6.551 -0.927 0.559 -2.372 -5.936 1.798 -2.455 0.997 12.314" Properties=species:S:1:pos:R:3 pbc="T T T"
Cs -5.689 -2.933 7.336
Si -2.873 -1.644 3.044
Si -8.505 -4.222 11.627
Te -2.767 -0.976 5.390
Te -5.282 -2.359 2.427
Te -8.611 -4.890 9.281
Te -7.829 -4.562 3.170
Te -3.549 -1.304 11.501
Te -4.546 -5.607 3.320
Te -6.832 -0.259 11.352
Te -6.096 -3.507 12.244
Ir 0.000 0.000 0.000
```

Output
ΔE_f (raw) in eV/atom: -0.108
V in Å³/cell: 458.1
Magnetic moment in μB per atom: 0.000

***

# 7
Ba2CaPt: optimized geometry, PBE.

Cell and atoms, written as extended XYZ:
```
4
Lattice="6.841 0.003 0.000 3.329 5.976 0.000 -5.085 -2.989 3.464" Properties=species:S:1:pos:R:3 pbc="T T T"
Ca 5.085 2.989 0.000
Ba 0.000 0.000 0.000
Ba 1.665 2.988 1.732
Pt 3.420 0.001 1.732
```

Output
V in Å³/cell: 141.6
Distance to the lowest polymorph of the same formula in kJ/mol of formula units: 179
Magnetic moment in μB per atom: 0.000
Energy relative to the elements in eV/atom: -0.07

***

# 8
LiNd6Ni: optimized geometry, PBE.

Cell and atoms, written as extended XYZ:
```
8
Lattice="6.775 0.009 0.009 3.380 5.872 0.013 3.378 1.952 6.567" Properties=species:S:1:pos:R:3 pbc="T T T"
Li 6.766 3.916 3.295
Nd 4.242 3.940 4.899
Nd 8.003 1.717 4.901
Nd 5.485 1.748 1.682
Nd 5.530 6.116 1.689
Nd 9.291 3.893 1.691
Nd 8.047 6.085 4.908
Ni 0.000 0.000 0.000
```

Output
V in Å³/cell: 260.8
Magnetic moment in μB per atom: 0.000
Energy relative to the elements in eV/atom: 0.16

***

Copy entry 4 word for word.
Ca3SmZr2As6: optimized geometry, PBE.

Cell and atoms, written as extended XYZ:
```
12
Lattice="-2.352 5.755 3.281 -0.760 -6.317 2.988 7.139 0.918 0.984" Properties=species:S:1:pos:R:3 pbc="T T T"
Ca 2.551 -3.898 3.528
Ca 1.476 4.253 3.725
Ca 2.013 0.178 3.626
Sm 0.000 0.000 0.000
Zr -1.289 -2.305 3.085
Zr -1.823 1.742 3.183
As 2.880 2.389 5.497
As -0.625 -0.199 4.789
As 1.146 -2.033 1.756
As 3.436 -1.820 5.395
As 4.652 0.554 2.463
As 0.591 2.175 1.858
```

Output
V in Å³/cell: 293.8
Magnetic moment in μB per atom: 0.000
Energy relative to the elements in eV/atom: -1.19

***

Question: Which of these has the highest V?
Answer: CsSi2Te8Ir